Record 1
This record from OQMD describes an optimized crystal structure of BaPuNp. The functional is PBE-GGA.

The structure belongs to space group F-43m (No. 216); the cell edges are 7.6977, 7.6977 and 7.6977 Å and the angles 90.00°, 90.00° and 90.00°. The distinct sites, in fractional coordinates, are Ba at (0.0000, 0.0000, 0.0000), Pu at (0.2500, 0.2500, 0.2500) and Np at (0.0000, 0.0000, 0.5000).

For the mass density, the calculation gives 9.00 Mg/m³. The value obtained for the spin magnetization is 12.741 μB per formula unit. Its excess energy over the best structure of this formula in the dataset is 0.0 kJ per mole of atoms.

Record 2
This record from OQMD describes an optimized crystal structure of BaPuNp. The functional is PBE-GGA.

The structure belongs to space group F-43m (No. 216); the cell edges are 7.4745, 7.4745 and 7.4745 Å and the angles 90.00°, 90.00° and 90.00°. The distinct sites, in fractional coordinates, are Ba at (0.0000, 0.0000, 0.0000), Pu at (0.2500, 0.2500, 0.2500) and Np at (0.2500, 0.2500, 0.7500).

For the mass density, the calculation gives 9.83 Mg/m³. The value obtained for the spin magnetization is 11.007 μB per formula unit. Its excess energy over the best structure of this formula in the dataset is 25.4 kJ per mole of atoms.

Record 3
This record from OQMD describes an optimized crystal structure of RbBaNp. The functional is PBE-GGA.

The structure belongs to space group F-43m (No. 216); the cell edges are 8.6877, 8.6877 and 8.6877 Å and the angles 90.00°, 90.00° and 90.00°. The distinct sites, in fractional coordinates, are Rb at (0.0000, 0.0000, 0.0000), Ba at (0.2500, 0.2500, 0.7500) and Np at (0.0000, 0.0000, 0.5000).

For the mass density, the calculation gives 4.66 Mg/m³. As for the final energy: -44.148 eV per cell. The value obtained for the spin magnetization is 7.152 μB per formula unit.

Record 4
This record from OQMD describes an optimized crystal structure of BaNpRe. The functional is PBE-GGA.

The structure belongs to space group F-43m (No. 216); the cell edges are 7.0191, 7.0191 and 7.0191 Å and the angles 90.00°, 90.00° and 90.00°. The distinct sites, in fractional coordinates, are Ba at (0.0000, 0.0000, 0.0000), Np at (0.0000, 0.0000, 0.5000) and Re at (0.2500, 0.2500, 0.7500).

For the mass density, the calculation gives 10.77 Mg/m³. The value obtained for the spin magnetization is 3.573 μB per formula unit. Its excess energy over the best structure of this formula in the dataset is 0.0 kJ per mole of atoms.

Record 5
This record from OQMD describes an optimized crystal structure of BaNpRe. The functional is PBE-GGA.

The structure belongs to space group F-43m (No. 216); the cell edges are 6.7138, 6.7138 and 6.7138 Å and the angles 90.00°, 90.00° and 90.00°. The distinct sites, in fractional coordinates, are Ba at (0.0000, 0.0000, 0.0000), Np at (0.2500, 0.2500, 0.7500) and Re at (0.2500, 0.2500, 0.2500).

For the mass density, the calculation gives 12.30 Mg/m³. The value obtained for the spin magnetization is 0.004 μB per formula unit. Its excess energy over the best structure of this formula in the dataset is 106.4 kJ per mole of atoms.

Record 6
This record from OQMD describes an optimized crystal structure of Ba2NpSe4. The functional is PBE-GGA.

The structure belongs to space group Pbam (No. 55); the cell edges are 8.0949, 12.9406 and 4.5147 Å and the angles 90.00°, 90.00° and 90.00°. The distinct sites, in fractional coordinates, are Ba at (0.0829, 0.1807, 0.0000), Np at (0.0000, 0.5000, 0.5000), Se at (0.1312, 0.6988, 0.5000) and Se at (0.2147, 0.4489, 0.0000).

For the mass density, the calculation gives 5.81 Mg/m³. As for the final energy: -84.457 eV per cell. The value obtained for the spin magnetization is 3.002 μB per formula unit.